Compound: Cs2KV2F7
Source: Alexandria
Functional: PBE with a Hubbard U
Structure: relaxed

Summary:
**Uncorrected energy**: -5.315 eV per atom

Cell: 4.293 4.293 12.093 Å, 79.73 79.73 90.02°
Each line ends with the local moment (μB).
Sites, in units of the cell vectors:
1 F 0.588 0.088 0.825  0.01
2 F 0.682 0.682 0.638  0.01
3 F 0.088 0.588 0.825  0.01
4 F 0.912 0.412 0.175  0.01
5 F 0.500 0.500 0.000  0.01
6 F 0.412 0.912 0.175  0.01
7 F 0.318 0.318 0.362  0.01
8 K 0.000 0.000 0.000  0.00
9 Cs 0.185 0.185 0.632  0.00
10 Cs 0.815 0.815 0.368  0.00
11 V 0.590 0.590 0.820  2.75
12 V 0.410 0.410 0.180  2.75